Here is a relaxed structure of TlCdHg2Au from the Alexandria database. Energies are from PBE-GGA.

Properties
**VASP energy**: -6.57 eV/cell
**Energy above the lowest structure with this stoichiometry**: 60 meV/atom
**Energy of formation from the pure elements**: 0.59 eV/f.u.

Unit cell a=5.420 b=5.420 c=5.690 alpha=90.00 beta=90.00 gamma=90.00
Space group P4/mmm (No. 123)
Asymmetric unit:
Tl 0.000 0.000 0.000
Cd 0.500 0.500 0.000
Hg 0.000 0.500 0.500
Au 0.000 0.000 0.500